## A
A plane-wave DFT calculation with PBE was carried out for a relaxed structure of Co2IrCl.

a b c (Å): 4.2963 4.2963 4.2963
angles (deg): 60.00 60.00 60.00
Last column: magnetic moment on the atom in μB.
Fractional positions:
1 Cl 0.0000 0.0000 0.0000  0.10
2 Co 0.7500 0.7500 0.7500  1.90
3 Co 0.2500 0.2500 0.2500  1.90
4 Ir 0.5000 0.5000 0.5000  0.98

M_tot: 4.81 μB per formula unit

---

## B
A plane-wave DFT calculation with PBE was carried out for a relaxed structure of Co2IrCl.

a b c (Å): 4.2753 4.2753 4.2753
angles (deg): 60.00 60.00 60.00
Last column: magnetic moment on the atom in μB.
Fractional positions:
1 Cl 0.5000 0.5000 0.5000  0.14
2 Ir 0.7500 0.7500 0.7500  1.09
3 Co 0.2500 0.2500 0.2500  2.01
4 Co 0.0000 0.0000 0.0000  2.00

M_tot: 5.20 μB per formula unit

---

Quick one: most stable of them? A

---

## A
A plane-wave DFT calculation with PBE was carried out for a relaxed structure of BaSc2Ta.

a b c (Å): 6.6640 6.6640 6.6640
angles (deg): 151.35 130.86 57.88
Fractional positions:
1 Ta 0.5224 0.5224 0.0000
2 Sc 0.7250 0.2250 0.5000
3 Sc 0.9851 0.9851 0.0000
4 Ba 0.2676 0.7676 0.5000

M_tot: 0.00 μB per formula unit

---

## B
A plane-wave DFT calculation with PBE was carried out for a relaxed structure of BaSc2Ta.

a b c (Å): 5.2542 5.2542 6.9761
angles (deg): 85.33 85.33 35.14
Fractional positions:
1 Ba 0.2500 0.2500 0.2500
2 Ta 0.7500 0.7500 0.7500
3 Sc 0.4853 0.4853 0.5664
4 Sc 0.0147 0.0147 0.9336

M_tot: 0.00 μB per formula unit

---

Quick one: most stable of them? B

---

## A
A plane-wave DFT calculation with PBE was carried out for a relaxed structure of Tc2AsPb.

a b c (Å): 4.5626 4.5626 4.5626
angles (deg): 60.00 60.00 60.00
Fractional positions:
1 Tc 0.2500 0.2500 0.2500
2 Tc 0.7500 0.7500 0.7500
3 As 0.0000 0.0000 0.0000
4 Pb 0.5000 0.5000 0.5000

M_tot: 0.00 μB per formula unit

---

## B
A plane-wave DFT calculation with PBE was carried out for a relaxed structure of Tc2AsPb.

a b c (Å): 4.2863 4.2863 5.9759
angles (deg): 76.97 76.97 43.08
Fractional positions:
1 Tc 0.4880 0.4880 0.5652
2 Tc 0.0120 0.0120 0.9348
3 Pb 0.2500 0.2500 0.2500
4 As 0.7500 0.7500 0.7500

M_tot: 0.00 μB per formula unit

---

Quick one: most stable of them? B

---

## A
A plane-wave DFT calculation with PBE was carried out for a relaxed structure of CaTaSe2.

a b c (Å): 6.0683 6.0683 7.7227
angles (deg): 66.87 66.87 90.00
Last column: magnetic moment on the atom in μB.
Fractional positions:
1 Se 0.8750 0.9216 0.7500  0.00
2 Se 0.0784 0.6250 0.2500  -0.01
3 Se 0.6716 0.1250 0.2500  -0.01
4 Se 0.3750 0.3284 0.7500  -0.01
5 Ta 0.0000 0.0000 0.0000  1.04
6 Ta 0.7500 0.2500 0.5000  1.05
7 Ca 0.2500 0.7500 0.5000  0.03
8 Ca 0.5000 0.5000 0.0000  0.03

M_tot: 1.65 μB per formula unit

---

## B
A plane-wave DFT calculation with PBE was carried out for a relaxed structure of CaTaSe2.

a b c (Å): 3.2973 3.2973 9.1826
angles (deg): 90.00 90.00 90.00
Fractional positions:
1 Ca 0.5000 0.5000 0.7579
2 Ta 0.0000 0.0000 0.4592
3 Se 0.5000 0.5000 0.3263
4 Se 0.0000 0.0000 0.9567

M_tot: 0.00 μB per formula unit

---

Quick one: most stable of them? A